{"formula": "HoGa4Os", "functional": "GGA-PBE", "state": "relaxed", "n_ef_per_ev_atom": 0.29, "space_group": "Pmma", "e_above_lowest_polymorph_ev_per_atom": 0.000, "formation_energy_kj_per_mol_fu": -236, "cell": [[7.783, 0.000, 0.000], [0.000, 4.069, 0.000], [0.000, 0.000, 6.930]], "species": ["Ho", "Ho", "Ga", "Ga", "Ga", "Ga", "Ga", "Ga", "Ga", "Ga", "Os", "Os"], "frac_coords": [[0.250, 0.000, 0.127], [0.750, 0.000, 0.873], [0.000, 0.000, 0.500], [0.064, 0.500, 0.825], [0.250, 0.500, 0.449], [0.436, 0.500, 0.825], [0.500, 0.000, 0.500], [0.564, 0.500, 0.175], [0.750, 0.500, 0.551], [0.936, 0.500, 0.175], [0.250, 0.000, 0.702], [0.750, 0.000, 0.298]]}

{"formula": "HoGa8Os2", "functional": "GGA-PBE", "state": "relaxed", "n_ef_per_ev_atom": 0.34, "space_group": "C2/m", "formation_energy_kj_per_mol_fu": -201, "cell": [[4.389, -5.092, 0.000], [4.389, 5.092, 0.000], [-1.107, 0.000, 4.670]], "species": ["Ho", "Ga", "Ga", "Ga", "Ga", "Ga", "Ga", "Ga", "Ga", "Os", "Os"], "frac_coords": [[0.000, 0.000, 0.000], [0.097, 0.352, 0.603], [0.296, 0.704, 0.000], [0.352, 0.097, 0.603], [0.370, 0.370, 0.248], [0.630, 0.630, 0.752], [0.648, 0.903, 0.397], [0.704, 0.296, 0.000], [0.903, 0.648, 0.397], [0.282, 0.718, 0.500], [0.718, 0.282, 0.500]]}

{"formula": "HoGa4Os", "functional": "GGA-PBE", "state": "relaxed", "n_ef_per_ev_atom": 0.51, "space_group": "C2/c", "e_above_lowest_polymorph_ev_per_atom": 0.272, "formation_energy_kj_per_mol_fu": -78, "cell": [[5.812, -2.847, 0.000], [5.812, 2.847, 0.000], [-0.458, 0.000, 7.328]], "species": ["Ho", "Ho", "Ga", "Ga", "Ga", "Ga", "Ga", "Ga", "Ga", "Ga", "Os", "Os"], "frac_coords": [[0.114, 0.886, 0.750], [0.886, 0.114, 0.250], [0.117, 0.366, 0.674], [0.319, 0.569, 0.100], [0.366, 0.117, 0.174], [0.431, 0.681, 0.400], [0.569, 0.319, 0.600], [0.634, 0.883, 0.826], [0.681, 0.431, 0.900], [0.883, 0.634, 0.326], [0.000, 0.500, 0.000], [0.500, 0.000, 0.500]]}

{"formula": "HoGa3Os", "functional": "GGA-PBE", "state": "relaxed", "n_ef_per_ev_atom": 0.41, "space_group": "Pm-3m", "e_above_lowest_polymorph_ev_per_atom": 0.000, "formation_energy_kj_per_mol_fu": -235, "cell": [[6.416, 0.000, 0.000], [0.000, 6.416, 0.000], [0.000, 0.000, 6.416]], "species": ["Ho", "Ho", "Ho", "Ga", "Ga", "Ga", "Ga", "Ga", "Ga", "Ga", "Ga", "Ga", "Os", "Os", "Os"], "frac_coords": [[0.000, 0.000, 0.500], [0.000, 0.500, 0.000], [0.500, 0.000, 0.000], [0.000, 0.000, 0.000], [0.288, 0.288, 0.288], [0.288, 0.288, 0.712], [0.288, 0.712, 0.288], [0.288, 0.712, 0.712], [0.712, 0.288, 0.288], [0.712, 0.288, 0.712], [0.712, 0.712, 0.288], [0.712, 0.712, 0.712], [0.000, 0.500, 0.500], [0.500, 0.000, 0.500], [0.500, 0.500, 0.000]]}

{"formula": "Ho3GaOs", "functional": "GGA-PBE", "state": "relaxed", "n_ef_per_ev_atom": 0.57, "space_group": "Fmmm", "formation_energy_kj_per_mol_fu": -196, "cell": [[0.000, 4.709, 7.904], [3.188, 0.000, 7.904], [3.188, 4.709, 0.000]], "species": ["Ho", "Ho", "Ho", "Ho", "Ho", "Ho", "Ga", "Ga", "Os", "Os"], "frac_coords": [[0.196, 0.196, 0.804], [0.209, 0.578, 0.422], [0.422, 0.791, 0.209], [0.578, 0.209, 0.791], [0.791, 0.422, 0.578], [0.804, 0.804, 0.196], [0.195, 0.805, 0.805], [0.805, 0.195, 0.195], [0.250, 0.250, 0.250], [0.750, 0.750, 0.750]]}

{"formula": "Ho3Ga9Os2", "functional": "GGA-PBE", "state": "relaxed", "n_ef_per_ev_atom": 0.32, "space_group": "Immm", "formation_energy_kj_per_mol_fu": -636, "cell": [[-2.137, 4.705, 6.219], [2.137, -4.705, 6.219], [2.137, 4.705, -6.219]], "species": ["Ho", "Ho", "Ho", "Ga", "Ga", "Ga", "Ga", "Ga", "Ga", "Ga", "Ga", "Ga", "Os", "Os"], "frac_coords": [[0.000, 0.000, 0.000], [0.299, 0.299, 0.000], [0.701, 0.701, 0.000], [0.017, 0.652, 0.364], [0.152, 0.868, 0.284], [0.288, 0.652, 0.636], [0.416, 0.132, 0.284], [0.500, 0.000, 0.500], [0.584, 0.868, 0.716], [0.712, 0.348, 0.364], [0.848, 0.132, 0.716], [0.983, 0.348, 0.636], [0.327, 0.500, 0.827], [0.673, 0.500, 0.173]]}

{"formula": "Ho4Ga3Os", "functional": "GGA-PBE", "state": "relaxed", "n_ef_per_ev_atom": 0.78, "space_group": "Pmm2", "formation_energy_kj_per_mol_fu": -397, "cell": [[3.933, 0.000, 0.000], [0.000, 4.298, 0.000], [0.000, 0.000, 10.815]], "species": ["Ho", "Ho", "Ho", "Ho", "Ga", "Ga", "Ga", "Os"], "frac_coords": [[0.000, 0.000, 0.000], [0.000, 0.500, 0.270], [0.500, 0.000, 0.471], [0.500, 0.500, 0.780], [0.000, 0.000, 0.707], [0.000, 0.500, 0.557], [0.500, 0.500, 0.059], [0.500, 0.000, 0.199]]}

{"formula": "Ho3Ga3Os2", "functional": "GGA-PBE", "state": "relaxed", "n_ef_per_ev_atom": 0.63, "space_group": "Pnma", "formation_energy_kj_per_mol_fu": -361, "cell": [[7.945, 0.000, 0.000], [0.000, 15.023, 0.000], [0.000, 0.000, 5.588]], "species": ["Ho", "Ho", "Ho", "Ho", "Ho", "Ho", "Ho", "Ho", "Ho", "Ho", "Ho", "Ho", "Ga", "Ga", "Ga", "Ga", "Ga", "Ga", "Ga", "Ga", "Ga", "Ga", "Ga", "Ga", "Os", "Os", "Os", "Os", "Os", "Os", "Os", "Os"], "frac_coords": [[0.051, 0.108, 0.107], [0.051, 0.392, 0.107], [0.197, 0.250, 0.633], [0.303, 0.750, 0.133], [0.449, 0.608, 0.607], [0.449, 0.892, 0.607], [0.551, 0.108, 0.393], [0.551, 0.392, 0.393], [0.697, 0.250, 0.867], [0.803, 0.750, 0.367], [0.949, 0.608, 0.893], [0.949, 0.892, 0.893], [0.147, 0.750, 0.616], [0.185, 0.039, 0.612], [0.185, 0.461, 0.612], [0.315, 0.539, 0.112], [0.315, 0.961, 0.112], [0.353, 0.250, 0.116], [0.647, 0.750, 0.884], [0.685, 0.039, 0.888], [0.685, 0.461, 0.888], [0.815, 0.539, 0.388], [0.815, 0.961, 0.388], [0.853, 0.250, 0.384], [0.106, 0.603, 0.393], [0.106, 0.897, 0.393], [0.394, 0.103, 0.893], [0.394, 0.397, 0.893], [0.606, 0.603, 0.107], [0.606, 0.897, 0.107], [0.894, 0.103, 0.607], [0.894, 0.397, 0.607]]}

Number 1: volume 219.5 Å³ per cell. Number 2: volume 208.7 Å³ per cell. Number 3: volume 242.5 Å³ per cell. Number 4: volume 264.2 Å³ per cell. Number 5: volume 237.3 Å³ per cell. Number 6: volume 250.1 Å³ per cell. Number 7: volume 182.8 Å³ per cell. Number 8: volume 667.0 Å³ per cell.